1.
First-principles (GGA-PBE) data for crystalline CsPbO2 at its relaxed geometry, as listed in the Alexandria database.

Lattice parameters (Å, degrees): 3.9930 3.9930 7.2122 90.00 90.00 120.00
Element x y z (fractional)
Cs  0.0000  0.0000  0.0000
Pb  0.3333  0.6667  0.4921
O  0.3333  0.6667  0.7761
O  0.6667  0.3333  0.4004

Summary:
As for the space-group type: P3m1 (156). The formation energy without anion corrections is -0.979 eV/atom. The density of states at the Fermi level comes out at 1.75 states/eV per cell.


2.
First-principles (GGA-PBE) data for crystalline Ca4Tl7Ag at its relaxed geometry, as listed in the Alexandria database.

Lattice parameters (Å, degrees): 5.3928 7.7888 9.1200 112.57 91.24 90.06
Element x y z (fractional)
Ca  0.2334  0.4067  0.2985
Ca  0.2434  0.8991  0.2701
Ca  0.7566  0.1009  0.7299
Ca  0.7666  0.5933  0.7015
Tl  0.2514  0.2954  0.6292
Tl  0.2521  0.0728  0.9504
Tl  0.2613  0.7940  0.6057
Tl  0.5000  0.5000  0.0000
Tl  0.7387  0.2060  0.3943
Tl  0.7479  0.9272  0.0496
Tl  0.7486  0.7046  0.3708
Ag  0.0000  0.5000  0.0000

Summary:
As for the space-group type: P-1 (2). The density of states at the Fermi level comes out at 5.54 states/eV per cell. Its formation energy is -0.2377 eV/atom.


3.
First-principles (GGA-PBE) data for crystalline BaBTe2 at its relaxed geometry, as listed in the Alexandria database.

Lattice parameters (Å, degrees): 6.8734 6.8734 6.8734 113.77 113.77 101.18
Element x y z (fractional)
Ba  0.0000  0.0000  0.0000
Ba  0.7500  0.2500  0.5000
B  0.2500  0.7500  0.5000
B  0.5000  0.5000  0.0000
Te  0.2444  0.1250  0.6194
Te  0.3750  0.7556  0.8806
Te  0.5056  0.6250  0.3806
Te  0.8750  0.4944  0.1194

Summary:
As for the space-group type: I-42d (122). The formation energy without anion corrections is -0.239 eV/atom. The density of states at the Fermi level comes out at 4.56 states/eV per cell.


Which of these has the highest density of states at the Fermi level? Ca4Tl7Ag